(1)
Density functional theory data (meta-GGA SCAN) for a PBEsol-optimized structure of KGaS2.

Cell: 6.4900 6.4900 5.9849 Å, 108.66 108.66 103.73°
Sites, in units of the cell vectors:
K 0.1296 0.8704 0.7500
K 0.8704 0.1296 0.2500
Ga 0.4912 0.5088 0.2500
Ga 0.5088 0.4912 0.7500
S 0.1994 0.4289 0.8606
S 0.4289 0.1994 0.3606
S 0.5711 0.8006 0.6394
S 0.8006 0.5711 0.1394

Properties
- Energy relative to the elements, uncorrected: -1159 meV/atom
- Mass density: 2.743 g cm⁻³
- Magnetization: 0.00 μB per atom

(2)
Density functional theory data (meta-GGA SCAN) for a PBEsol-optimized structure of K3GaS3.

Cell: 7.6944 12.5802 9.9163 Å, 90.00 127.25 90.00°
Sites, in units of the cell vectors:
K 0.1263 0.1187 0.4735
K 0.1263 0.3813 0.9735
K 0.1715 0.1027 0.8956
K 0.1715 0.3973 0.3956
K 0.3479 0.6864 0.5662
K 0.3479 0.8136 0.0662
K 0.6521 0.1864 0.9338
K 0.6521 0.3136 0.4338
K 0.8285 0.6027 0.6044
K 0.8285 0.8973 0.1044
K 0.8737 0.6187 0.0265
K 0.8737 0.8813 0.5265
Ga 0.4401 0.0642 0.3369
Ga 0.4401 0.4358 0.8369
Ga 0.5599 0.5642 0.1631
Ga 0.5599 0.9358 0.6631
S 0.1721 0.1868 0.1974
S 0.1721 0.3132 0.6974
S 0.3324 0.6008 0.8703
S 0.3324 0.8992 0.3703
S 0.3704 0.5479 0.2667
S 0.3704 0.9521 0.7667
S 0.6296 0.0479 0.2333
S 0.6296 0.4521 0.7333
S 0.6676 0.1008 0.6297
S 0.6676 0.3992 0.1297
S 0.8279 0.6868 0.3026
S 0.8279 0.8132 0.8026

Properties
- Energy relative to the elements, uncorrected: -1306 meV/atom
- Mass density: 2.462 g cm⁻³
- Magnetization: 0.00 μB per atom

(3)
Density functional theory data (meta-GGA SCAN) for a PBEsol-optimized structure of KGaS2.

Cell: 6.4021 6.4021 6.4021 Å, 114.91 114.91 99.07°
Sites, in units of the cell vectors:
K 0.0000 0.0000 0.0000
K 0.7500 0.2500 0.5000
Ga 0.2500 0.7500 0.5000
Ga 0.5000 0.5000 0.0000
S 0.2184 0.1250 0.5934
S 0.3750 0.7816 0.9066
S 0.5316 0.6250 0.4066
S 0.8750 0.4684 0.0934

Properties
- Energy relative to the elements, uncorrected: -1162 meV/atom
- Mass density: 2.914 g cm⁻³
- Magnetization: 0.00 μB per atom

(4)
Density functional theory data (meta-GGA SCAN) for a PBEsol-optimized structure of KGaSi2S.

Cell: 5.3348 5.3348 5.2492 Å, 90.00 90.00 90.00°
Sites, in units of the cell vectors:
K 0.0000 0.0000 0.0000
Ga 0.5000 0.5000 0.5000
Si 0.0000 0.5000 0.0000
Si 0.5000 0.0000 0.0000
S 0.0000 0.0000 0.5000

Properties
- Energy relative to the elements, uncorrected: 1751 meV/atom
- Mass density: 2.190 g cm⁻³
- Magnetization: 0.00 μB per atom

(5)
Density functional theory data (meta-GGA SCAN) for a PBEsol-optimized structure of K2Ga2Sb3.

Cell: 14.7261 7.1566 16.5439 Å, 90.00 90.54 90.00°
Sites, in units of the cell vectors:
K 0.0559 0.0429 0.1078
K 0.0559 0.4571 0.6078
K 0.1519 0.5368 0.0201
K 0.1519 0.9632 0.5201
K 0.3571 0.0216 0.0081
K 0.3571 0.4784 0.5081
K 0.4269 0.5243 0.1127
K 0.4269 0.9757 0.6127
K 0.5731 0.0243 0.3873
K 0.5731 0.4757 0.8873
K 0.6429 0.5216 0.4919
K 0.6429 0.9784 0.9919
K 0.8481 0.0368 0.4799
K 0.8481 0.4632 0.9799
K 0.9441 0.5429 0.3922
K 0.9441 0.9571 0.8922
Ga 0.0930 0.7312 0.2595
Ga 0.0930 0.7688 0.7595
Ga 0.1846 0.2140 0.3310
Ga 0.1846 0.2860 0.8310
Ga 0.3191 0.7282 0.3240
Ga 0.3191 0.7718 0.8240
Ga 0.4081 0.2094 0.2700
Ga 0.4081 0.2906 0.7700
Ga 0.5919 0.7094 0.2300
Ga 0.5919 0.7906 0.7300
Ga 0.6809 0.2282 0.1760
Ga 0.6809 0.2718 0.6760
Ga 0.8154 0.7140 0.1690
Ga 0.8154 0.7860 0.6690
Ga 0.9070 0.2312 0.2405
Ga 0.9070 0.2688 0.7405
Sb 0.0241 0.0325 0.3353
Sb 0.0241 0.4675 0.8353
Sb 0.1710 0.5584 0.3880
Sb 0.1710 0.9416 0.8880
Sb 0.2491 0.6825 0.6777
Sb 0.2491 0.8175 0.1777
Sb 0.2524 0.2187 0.1818
Sb 0.2524 0.2813 0.6818
Sb 0.3360 0.0499 0.4020
Sb 0.3360 0.4501 0.9020
Sb 0.4752 0.5322 0.3277
Sb 0.4752 0.9678 0.8277
Sb 0.5248 0.0322 0.1723
Sb 0.5248 0.4678 0.6723
Sb 0.6640 0.5499 0.0980
Sb 0.6640 0.9501 0.5980
Sb 0.7476 0.7187 0.3182
Sb 0.7476 0.7813 0.8182
Sb 0.7509 0.1825 0.8223
Sb 0.7509 0.3175 0.3223
Sb 0.8290 0.0584 0.1120
Sb 0.8290 0.4416 0.6120
Sb 0.9759 0.5325 0.1647
Sb 0.9759 0.9675 0.6647

Properties
- Energy relative to the elements, uncorrected: -411 meV/atom
- Mass density: 4.442 g cm⁻³
- Magnetization: 0.00 μB per atom

(6)
Density functional theory data (meta-GGA SCAN) for a PBEsol-optimized structure of K2GaSb2.

Cell: 14.9685 10.3259 9.0385 Å, 90.00 90.00 90.00°
Sites, in units of the cell vectors:
K 0.0156 0.0256 0.2292
K 0.0156 0.4744 0.2292
K 0.2345 0.5278 0.5881
K 0.2345 0.9722 0.5881
K 0.2655 0.0278 0.0881
K 0.2655 0.4722 0.0881
K 0.4844 0.5256 0.7292
K 0.4844 0.9744 0.7292
K 0.5156 0.0256 0.2708
K 0.5156 0.4744 0.2708
K 0.7345 0.5278 0.9119
K 0.7345 0.9722 0.9119
K 0.7655 0.0278 0.4119
K 0.7655 0.4722 0.4119
K 0.9844 0.5256 0.7708
K 0.9844 0.9744 0.7708
Ga 0.0944 0.2500 0.5818
Ga 0.1793 0.7500 0.2774
Ga 0.3207 0.2500 0.7774
Ga 0.4056 0.7500 0.0818
Ga 0.5944 0.2500 0.9182
Ga 0.6793 0.7500 0.2226
Ga 0.8207 0.2500 0.7226
Ga 0.9056 0.7500 0.4182
Sb 0.0700 0.7500 0.5030
Sb 0.1262 0.7500 0.0039
Sb 0.1502 0.2500 0.8510
Sb 0.2037 0.2500 0.3615
Sb 0.2963 0.7500 0.8615
Sb 0.3498 0.7500 0.3510
Sb 0.3738 0.2500 0.5039
Sb 0.4300 0.2500 0.0030
Sb 0.5700 0.7500 0.9970
Sb 0.6262 0.7500 0.4961
Sb 0.6502 0.2500 0.6490
Sb 0.7037 0.2500 0.1385
Sb 0.7963 0.7500 0.6385
Sb 0.8498 0.7500 0.1490
Sb 0.8738 0.2500 0.9961
Sb 0.9300 0.2500 0.4970

Properties
- Energy relative to the elements, uncorrected: -485 meV/atom
- Mass density: 3.722 g cm⁻³
- Magnetization: 0.00 μB per atom

(7)
Density functional theory data (meta-GGA SCAN) for a PBEsol-optimized structure of KGaSb2Te.

Cell: 5.7204 5.7204 5.8334 Å, 90.00 90.00 90.00°
Sites, in units of the cell vectors:
K 0.0000 0.0000 0.0000
Ga 0.5000 0.5000 0.5000
Sb 0.0000 0.5000 0.0000
Sb 0.5000 0.0000 0.0000
Te 0.0000 0.0000 0.5000

Properties
- Energy relative to the elements, uncorrected: 1140 meV/atom
- Mass density: 4.175 g cm⁻³
- Magnetization: 0.00 μB per atom

(8)
Density functional theory data (meta-GGA SCAN) for a PBEsol-optimized structure of KSc3Ga.

Cell: 4.7782 4.7782 4.7782 Å, 90.00 90.00 90.00°
Sites, in units of the cell vectors:
K 0.0000 0.0000 0.0000
Sc 0.0000 0.0000 0.5000
Sc 0.0000 0.5000 0.0000
Sc 0.5000 0.0000 0.0000
Ga 0.5000 0.5000 0.5000

Properties
- Formation energy: 1335 meV/atom
- Mass density: 3.709 g cm⁻³
- Magnetization: 0.00 μB per atom